In2SbMo: optimized geometry, PBE-GGA.

abc: 5.878 10.712 3.447
angles: 90.00 125.03 90.00
Space group C2/m (No. 12)
Symmetry-distinct sites (fractional):
In: 0.250 0.250 0.000 [4 per cell]
Sb: 0.000 0.000 0.000 [2 per cell]
Mo: 0.000 0.500 0.000 [2 per cell]

Summary:
total DFT energy (no corrections)	-4.60	eV per atom
ρ	8.361	g/cm³
density of states at the Fermi level	0.828	states/eV/atom
formation energy from raw total energies	508	meV per atom


LaPr6Dy3: optimized geometry, PBE-GGA.

abc: 11.142 19.420 6.434
angles: 90.00 90.00 90.00
Space group Cmc2_1 (No. 36)
Symmetry-distinct sites (fractional):
La: 0.000 0.189 0.000 [4 per cell]
Pr: 0.000 0.036 0.767 [4 per cell]
Pr: 0.000 0.282 0.549 [4 per cell]
Pr: 0.167 0.461 0.454 [8 per cell]
Pr: 0.236 0.291 0.278 [8 per cell]
Dy: 0.000 0.382 0.996 [4 per cell]
Dy: 0.176 0.116 0.365 [8 per cell]

Summary:
total DFT energy (no corrections)	-4.61	eV per atom
ρ	7.022	g/cm³
density of states at the Fermi level	1.416	states/eV/atom
distance to the lowest polymorph of the same formula	0	meV/atom


Sc4Zn2AgPd: optimized geometry, PBE-GGA.

abc: 4.7623 4.7623 23.2717
angles: 90.00 90.00 120.00
Space group R-3m (No. 166, hexagonal axes)
Symmetry-distinct sites (fractional):
Sc: 0.0000 0.0000 0.1220 [6 per cell]
Sc: 0.0000 0.0000 0.3724 [6 per cell]
Zn: 0.0000 0.0000 0.2477 [6 per cell]
Ag: 0.0000 0.0000 0.5000 [3 per cell]
Pd: 0.0000 0.0000 0.0000 [3 per cell]

Summary:
total DFT energy (no corrections)	-4.96	eV per atom
ρ	5.721	g/cm³
density of states at the Fermi level	0.805	states/eV/atom


Ta3TcSb: optimized geometry, PBE-GGA.

abc: 4.937 4.937 4.937
angles: 90.00 90.00 90.00
Space group Pm-3m (No. 221)
Symmetry-distinct sites (fractional):
Ta: 0.000 0.000 0.500 [3 per cell]
Tc: 0.500 0.500 0.500 [1 per cell]
Sb: 0.000 0.000 0.000 [1 per cell]

Summary:
total DFT energy (no corrections)	-7.85	eV per atom
ρ	10.525	g/cm³
density of states at the Fermi level	0.937	states/eV/atom
distance to the lowest polymorph of the same formula	1151	meV/atom
formation energy from raw total energies	2157	meV per atom


Zr2Ir3Rh3: optimized geometry, PBE-GGA.

abc: 3.973 3.987 7.941
angles: 90.00 90.00 90.00
Space group Pmmm (No. 47)
Symmetry-distinct sites (fractional):
Zr: 0.000 0.000 0.250 [2 per cell]
Ir: 0.000 0.500 0.000 [1 per cell]
Ir: 0.500 0.500 0.249 [2 per cell]
Rh: 0.000 0.500 0.500 [1 per cell]
Rh: 0.500 0.000 0.000 [1 per cell]
Rh: 0.500 0.000 0.500 [1 per cell]

Summary:
total DFT energy (no corrections)	-8.91	eV per atom
ρ	14.095	g/cm³
density of states at the Fermi level	1.052	states/eV/atom


Li7Cd3Si: optimized geometry, PBE-GGA.

abc: 2.834 17.756 16.220
angles: 90.00 90.00 90.00
Space group Cmcm (No. 63)
Symmetry-distinct sites (fractional):
Li: 0.000 0.027 0.108 [8 per cell]
Li: 0.000 0.110 0.671 [8 per cell]
Li: 0.000 0.116 0.250 [4 per cell]
Li: 0.000 0.261 0.594 [8 per cell]
Cd: 0.000 0.269 0.250 [4 per cell]
Cd: 0.000 0.382 0.018 [8 per cell]
Si: 0.000 0.492 0.250 [4 per cell]

Summary:
total DFT energy (no corrections)	-2.12	eV per atom
ρ	3.369	g/cm³
density of states at the Fermi level	0.298	states/eV/atom
formation energy from raw total energies	-155	meV per atom


CrHg2I: optimized geometry, PBE-GGA.

abc: 15.290 3.484 10.356
angles: 90.00 123.82 90.00
Space group C2/m (No. 12)
Symmetry-distinct sites (fractional):
Cr: 0.008 0.000 0.419 [4 per cell]
Hg: 0.107 0.000 0.160 [4 per cell]
Hg: 0.173 0.500 0.513 [4 per cell]
I: 0.119 0.500 0.807 [4 per cell]

Summary:
total DFT energy (no corrections)	-2.76	eV per atom
ρ	8.406	g/cm³
density of states at the Fermi level	0.351	states/eV/atom
distance to the lowest polymorph of the same formula	61	meV/atom
formation energy from raw total energies	183	meV per atom


SiSe2N2: optimized geometry, PBE-GGA.

abc: 3.728 3.728 7.119
angles: 90.00 90.00 90.00
Space group P4/mmm (No. 123)
Symmetry-distinct sites (fractional):
Si: 0.000 0.000 0.000 [1 per cell]
Se: 0.500 0.500 0.000 [1 per cell]
Se: 0.500 0.500 0.500 [1 per cell]
N: 0.000 0.500 0.500 [2 per cell]

Summary:
total DFT energy (no corrections)	-4.25	eV per atom
ρ	3.592	g/cm³
density of states at the Fermi level	0.654	states/eV/atom
distance to the lowest polymorph of the same formula	945	meV/atom
formation energy from raw total energies	1562	meV per atom


> Number 1 is which compound?

In2SbMo


> Among the records above, which one has the lowest ρ?

Li7Cd3Si